The following is a DFT calculation (PBE) of a geometry-optimized Cr2AsIr structure.

Results
The energy of formation comes out at 0.068 eV/atom. Its density of states at the Fermi level is 11.5 states/eV/cell. The calculation puts the magnetization at 7.6 Bohr magnetons per cell.

```
data_Cr2AsIr
_chemical_formula_sum 'Cr8 As4 Ir4'
_cell_length_a 6.014
_cell_length_b 6.014
_cell_length_c 6.014
_cell_angle_alpha 90.00
_cell_angle_beta 90.00
_cell_angle_gamma 90.00
_space_group_name_H-M_alt 'F -4 3 m'
_space_group_IT_number 216
_space_group_name_Hall 'F -4 2 3'
loop_
_atom_site_label
_atom_site_fract_x
_atom_site_fract_y
_atom_site_fract_z
_atom_site_occupancy
Cr1 0.000 0.000 0.000 1
Cr2 0.250 0.250 0.250 1
As1 0.000 0.000 0.500 1
Ir1 0.250 0.250 0.750 1
```

The following is a DFT calculation (PBE) of a geometry-optimized Ca3Nd3Ga4 structure.

Results
The energy of formation comes out at -0.433 eV/atom. Its density of states at the Fermi level is 27.3 states/eV/cell. The calculation puts the magnetization at 0.0 Bohr magnetons per cell.

```
data_Ca3Nd3Ga4
_chemical_formula_sum 'Ca6 Nd6 Ga8'
_cell_length_a 4.311
_cell_length_b 11.452
_cell_length_c 11.447
_cell_angle_alpha 90.00
_cell_angle_beta 90.00
_cell_angle_gamma 90.00
_space_group_name_H-M_alt 'A m m 2'
_space_group_IT_number 38
loop_
_space_group_symop_operation_xyz
'x,y,z'
'-x,-y,z'
'-x,y,z'
'x,-y,z'
'x,y+1/2,z+1/2'
'-x,-y+1/2,z+1/2'
'-x,y+1/2,z+1/2'
'x,-y+1/2,z+1/2'
loop_
_atom_site_label
_atom_site_fract_x
_atom_site_fract_y
_atom_site_fract_z
_atom_site_occupancy
Ca1 0.000 0.000 0.000 1
Ca2 0.500 0.249 0.077 1
Nd1 0.000 0.000 0.652 1
Nd2 0.000 0.176 0.326 1
Ga1 0.500 0.000 0.217 1
Ga2 0.500 0.000 0.448 1
Ga3 0.500 0.119 0.825 1
```

The following is a DFT calculation (PBE) of a geometry-optimized BaTc2Br structure.

Results
The energy relative to the elements, uncorrected comes out at 471.7 meV/atom. The calculation puts the relative energy among the computed polymorphs at 0.341 eV/atom. Its density of states at the Fermi level is 12.7 states/eV/cell. The calculation puts the magnetization at 0.0 Bohr magnetons per cell.

```
data_BaTc2Br
_chemical_formula_sum 'Ba2 Tc4 Br2'
_cell_length_a 3.674
_cell_length_b 6.209
_cell_length_c 9.439
_cell_angle_alpha 90.00
_cell_angle_beta 90.00
_cell_angle_gamma 90.00
_space_group_name_H-M_alt 'I m m 2'
_space_group_IT_number 44
loop_
_space_group_symop_operation_xyz
'x,y,z'
'-x,-y,z'
'-x,y,z'
'x,-y,z'
'x+1/2,y+1/2,z+1/2'
'-x+1/2,-y+1/2,z+1/2'
'-x+1/2,y+1/2,z+1/2'
'x+1/2,-y+1/2,z+1/2'
loop_
_atom_site_label
_atom_site_fract_x
_atom_site_fract_y
_atom_site_fract_z
_atom_site_occupancy
Ba1 0.000 0.000 0.000 1
Tc1 0.000 0.000 0.518 1
Tc2 0.000 0.500 0.166 1
Br1 0.000 0.500 0.794 1
```

The following is a DFT calculation (PBE) of a geometry-optimized LaWAu2 structure.

Results
The energy of formation comes out at 0.212 eV/atom. The calculation puts the relative energy among the computed polymorphs at 0.078 eV/atom. Its density of states at the Fermi level is 2.7 states/eV/cell. The calculation puts the magnetization at 0.0 Bohr magnetons per cell.

```
data_LaWAu2
_chemical_formula_sum 'La1 W1 Au2'
_cell_length_a 3.018
_cell_length_b 3.018
_cell_length_c 8.978
_cell_angle_alpha 90.00
_cell_angle_beta 90.00
_cell_angle_gamma 90.00
_space_group_name_H-M_alt 'P 4 m m'
_space_group_IT_number 99
loop_
_space_group_symop_operation_xyz
'x,y,z'
'-y,x,z'
'-x,-y,z'
'y,-x,z'
'-x,y,z'
'y,x,z'
'x,-y,z'
'-y,-x,z'
loop_
_atom_site_label
_atom_site_fract_x
_atom_site_fract_y
_atom_site_fract_z
_atom_site_occupancy
La1 0.000 0.000 0.000 1
W1 0.500 0.500 0.283 1
Au1 0.000 0.000 0.489 1
Au2 0.500 0.500 0.724 1
```

The following is a DFT calculation (PBE) of a geometry-optimized GaSb2S4 structure.

Results
The energy relative to the elements, uncorrected comes out at -184.7 meV/atom. The calculation puts the relative energy among the computed polymorphs at 0.065 eV/atom. Its density of states at the Fermi level is 2.2 states/eV/cell. The calculation puts the magnetization at 0.0 Bohr magnetons per cell.

```
data_GaSb2S4
_chemical_formula_sum 'Ga2 Sb4 S8'
_cell_length_a 6.912
_cell_length_b 6.912
_cell_length_c 7.371
_cell_angle_alpha 90.00
_cell_angle_beta 90.00
_cell_angle_gamma 90.00
_space_group_name_H-M_alt 'I -4 2 m'
_space_group_IT_number 121
_space_group_name_Hall 'I -4 2'
loop_
_atom_site_label
_atom_site_fract_x
_atom_site_fract_y
_atom_site_fract_z
_atom_site_occupancy
Ga1 0.000 0.000 0.000 1
Sb1 0.000 0.500 0.000 1
S1 0.207 0.207 0.845 1
```

The following is a DFT calculation (PBE) of a geometry-optimized Bi2AsSe structure.

Results
The energy relative to the elements, uncorrected comes out at -95.2 meV/atom. The calculation puts the relative energy among the computed polymorphs at 0.004 eV/atom. Its density of states at the Fermi level is 6.2 states/eV/cell. The calculation puts the magnetization at 0.0 Bohr magnetons per cell.

```
data_Bi2AsSe
_chemical_formula_sum 'Bi8 As4 Se4'
_cell_length_a 6.089
_cell_length_b 6.188
_cell_length_c 13.049
_cell_angle_alpha 90.00
_cell_angle_beta 112.69
_cell_angle_gamma 90.00
_space_group_name_H-M_alt 'P 1 2/c 1'
_space_group_IT_number 13
loop_
_space_group_symop_operation_xyz
'x,y,z'
'-x,-y,-z'
'-x,y,-z+1/2'
'x,-y,z+1/2'
loop_
_atom_site_label
_atom_site_fract_x
_atom_site_fract_y
_atom_site_fract_z
_atom_site_occupancy
Bi1 0.123 0.238 0.116 1
Bi2 0.365 0.276 0.875 1
As1 0.134 0.296 0.629 1
Se1 0.363 0.208 0.371 1
```

The following is a DFT calculation (PBE) of a geometry-optimized HoZrTl structure.

Results
The energy of formation comes out at 0.208 eV/atom. The calculation puts the relative energy among the computed polymorphs at 0.317 eV/atom. Its density of states at the Fermi level is 4.2 states/eV/cell. The calculation puts the magnetization at 0.0 Bohr magnetons per cell.

```
data_HoZrTl
_chemical_formula_sum 'Ho1 Zr1 Tl1'
_cell_length_a 5.2323
_cell_length_b 5.2323
_cell_length_c 3.1531
_cell_angle_alpha 90.00
_cell_angle_beta 90.00
_cell_angle_gamma 120.00
_space_group_name_H-M_alt 'P -6 m 2'
_space_group_IT_number 187
_space_group_name_Hall 'P -6 2'
loop_
_atom_site_label
_atom_site_fract_x
_atom_site_fract_y
_atom_site_fract_z
_atom_site_occupancy
Ho1 0.0000 0.0000 0.0000 1
Zr1 0.6667 0.3333 0.0000 1
Tl1 0.3333 0.6667 0.5000 1
```

The following is a DFT calculation (PBE) of a geometry-optimized Tb2PrHf structure.

Results
The energy of formation comes out at 0.395 eV/atom. The calculation puts the relative energy among the computed polymorphs at 0.268 eV/atom. Its density of states at the Fermi level is 16.6 states/eV/cell. The calculation puts the magnetization at 0.0 Bohr magnetons per cell.

```
data_Tb2PrHf
_chemical_formula_sum 'Tb6 Pr3 Hf3'
_cell_length_a 3.3776
_cell_length_b 3.3776
_cell_length_c 36.4657
_cell_angle_alpha 90.00
_cell_angle_beta 90.00
_cell_angle_gamma 120.00
_space_group_name_H-M_alt 'R -3 m'
_space_group_IT_number 166
_space_group_name_Hall '-R 3 2"'
loop_
_atom_site_label
_atom_site_fract_x
_atom_site_fract_y
_atom_site_fract_z
_atom_site_occupancy
Tb1 0.0000 0.0000 0.0847 1
Pr1 0.0000 0.0000 0.5000 1
Hf1 0.0000 0.0000 0.0000 1
```

The following is a DFT calculation (PBE) of a geometry-optimized Y2Ni3Ge4Pd structure.

Results
The energy of formation comes out at -0.718 eV/atom. Its density of states at the Fermi level is 6.8 states/eV/cell. The calculation puts the magnetization at 0.0 Bohr magnetons per cell.

```
data_Y2Ni3Ge4Pd
_chemical_formula_sum 'Y2 Ni3 Ge4 Pd1'
_cell_length_a 4.135
_cell_length_b 4.135
_cell_length_c 9.788
_cell_angle_alpha 90.00
_cell_angle_beta 90.00
_cell_angle_gamma 90.00
_space_group_name_H-M_alt 'P -4 m 2'
_space_group_IT_number 115
loop_
_space_group_symop_operation_xyz
'x,y,z'
'y,-x,-z'
'-x,-y,z'
'-y,x,-z'
'-x,y,z'
'-y,-x,-z'
'x,-y,z'
'y,x,-z'
loop_
_atom_site_label
_atom_site_fract_x
_atom_site_fract_y
_atom_site_fract_z
_atom_site_occupancy
Y1 0.000 0.500 0.245 1
Ni1 0.000 0.500 0.878 1
Ni2 0.500 0.500 0.500 1
Ge1 0.000 0.000 0.000 1
Ge2 0.000 0.500 0.640 1
Ge3 0.500 0.500 0.000 1
Pd1 0.000 0.000 0.500 1
```

The following is a DFT calculation (PBE) of a geometry-optimized TbNd3Tm7 structure.

Results
The energy of formation comes out at 0.179 eV/atom. The calculation puts the relative energy among the computed polymorphs at 0.000 eV/atom. Its density of states at the Fermi level is 16.6 states/eV/cell. The calculation puts the magnetization at 0.0 Bohr magnetons per cell.

```
data_TbNd3Tm7
_chemical_formula_sum 'Tb1 Nd3 Tm7'
_cell_length_a 7.0108
_cell_length_b 7.0108
_cell_length_c 8.6322
_cell_angle_alpha 90.00
_cell_angle_beta 90.00
_cell_angle_gamma 120.00
_space_group_name_H-M_alt 'P 3 m 1'
_space_group_IT_number 156
loop_
_space_group_symop_operation_xyz
'x,y,z'
'-y,x-y,z'
'-x+y,-x,z'
'-y,-x,z'
'-x+y,y,z'
'x,x-y,z'
loop_
_atom_site_label
_atom_site_fract_x
_atom_site_fract_y
_atom_site_fract_z
_atom_site_occupancy
Tb1 0.0000 0.0000 0.0000 1
Nd1 0.1668 0.3337 0.6608 1
Tm1 0.0015 0.5007 0.0007 1
Tm2 0.3321 0.1660 0.3226 1
Tm3 0.3333 0.6667 0.3221 1
```

The following is a DFT calculation (PBE) of a geometry-optimized TbSmZnCd structure.

Results
The energy of formation comes out at -0.303 eV/atom. The calculation puts the relative energy among the computed polymorphs at 0.024 eV/atom. Its density of states at the Fermi level is 19.2 states/eV/cell. The calculation puts the magnetization at 1.1 Bohr magnetons per cell.

```
data_TbSmZnCd
_chemical_formula_sum 'Tb4 Sm4 Zn4 Cd4'
_cell_length_a 7.417
_cell_length_b 7.417
_cell_length_c 7.417
_cell_angle_alpha 90.00
_cell_angle_beta 90.00
_cell_angle_gamma 90.00
_space_group_name_H-M_alt 'F -4 3 m'
_space_group_IT_number 216
_space_group_name_Hall 'F -4 2 3'
loop_
_atom_site_label
_atom_site_fract_x
_atom_site_fract_y
_atom_site_fract_z
_atom_site_occupancy
Tb1 0.000 0.000 0.000 1
Sm1 0.000 0.000 0.500 1
Zn1 0.250 0.250 0.250 1
Cd1 0.250 0.250 0.750 1
```

The following is a DFT calculation (PBE) of a geometry-optimized RbZnPb2I structure.

Results
The energy relative to the elements, uncorrected comes out at 389.5 meV/atom. Its density of states at the Fermi level is 5.8 states/eV/cell. The calculation puts the magnetization at 0.0 Bohr magnetons per cell.

```
data_RbZnPb2I
_chemical_formula_sum 'Rb1 Zn1 Pb2 I1'
_cell_length_a 6.158
_cell_length_b 6.158
_cell_length_c 6.791
_cell_angle_alpha 90.00
_cell_angle_beta 90.00
_cell_angle_gamma 90.00
_space_group_name_H-M_alt 'P 4/m m m'
_space_group_IT_number 123
_space_group_name_Hall '-P 4 2'
loop_
_atom_site_label
_atom_site_fract_x
_atom_site_fract_y
_atom_site_fract_z
_atom_site_occupancy
Rb1 0.000 0.000 0.000 1
Zn1 0.500 0.500 0.000 1
Pb1 0.000 0.500 0.500 1
I1 0.000 0.000 0.500 1
```